1.
Compound: LaTcW2
Source: Alexandria via LeMat-Bulk
Functional: SCAN
Structure: single point on PBEsol structure

```
4
Lattice="-2.5855 0.2593 2.7604 -2.6571 -1.3096 -2.3658 1.0639 -4.7679 1.4444" Properties=species:S:1:pos:R:3 pbc="T T T"
W -1.2928 0.1297 1.3802
W -1.3286 -0.6548 -1.1829
La -2.0894 -2.9091 0.9195
Tc 0.5319 -2.3839 0.7222
```

Computed properties:
Calculated volume ... 73.2 Å³ per cell
Magnetization ... 0.000 μB per cell
Energy ... -213.7 eV for the cell shown
Symmetry ... No. 123


2.
Compound: LaTc2W
Source: Alexandria via LeMat-Bulk
Functional: SCAN
Structure: single point on PBEsol structure

```
4
Lattice="2.8436 0.0000 0.0000 1.4218 2.4627 0.0000 1.4218 0.8209 9.9595" Properties=species:S:1:pos:R:3 pbc="T T T"
Tc 4.2655 2.4627 7.5647
Tc 1.4218 0.8209 9.5754
W 2.8436 1.6418 5.3195
La 1.4218 0.8209 2.4390
```

Computed properties:
Calculated volume ... 69.7 Å³ per cell
Magnetization ... 0.000 μB per cell
Energy ... -180.4 eV for the cell shown
Symmetry ... No. 160


3.
Compound: La2TcW
Source: Alexandria via LeMat-Bulk
Functional: SCAN
Structure: single point on PBEsol structure

```
4
Lattice="-0.4986 -1.1144 3.0454 5.0485 -0.9500 0.4789 -1.6028 5.4799 -0.0246" Properties=species:S:1:pos:R:3 pbc="T T T"
W -0.2493 -0.5572 1.5227
La 0.3503 2.3178 0.9055
La 2.5969 1.0976 2.5942
Tc 2.5243 -0.4750 0.2394
```

Computed properties:
Calculated volume ... 81.6 Å³ per cell
Magnetization ... 0.000 μB per cell
Energy ... -187.7 eV for the cell shown
Symmetry ... No. 71


4.
Compound: LaTc2W
Source: Alexandria via LeMat-Bulk
Functional: SCAN
Structure: single point on PBEsol structure

```
4
Lattice="-1.3659 -2.8058 0.0818 0.9348 1.1615 -4.1154 5.2902 -2.5300 1.5556" Properties=species:S:1:pos:R:3 pbc="T T T"
La 2.6451 -1.2650 0.7778
W -0.6830 -1.4029 0.0409
Tc 1.0917 -0.5781 -1.6006
Tc 3.7673 -3.5962 -0.8774
```

Computed properties:
Calculated volume ... 76.2 Å³ per cell
Magnetization ... 0.000 μB per cell
Energy ... -181.4 eV for the cell shown
Symmetry ... No. 12


5.
Compound: LaTc2W
Source: Alexandria via LeMat-Bulk
Functional: SCAN
Structure: single point on PBEsol structure

```
4
Lattice="3.1373 0.0000 0.0000 0.0000 3.1373 0.0000 0.0000 0.0000 7.3195" Properties=species:S:1:pos:R:3 pbc="T T T"
W 1.5686 1.5686 0.0000
Tc 0.0000 0.0000 1.4565
Tc 0.0000 0.0000 5.8629
La 1.5686 1.5686 3.6597
```

Computed properties:
Calculated volume ... 72.0 Å³ per cell
Magnetization ... 0.000 μB per cell
Energy ... -182.1 eV for the cell shown
Symmetry ... No. 123


6.
Compound: La2Y2Tc
Source: Alexandria via LeMat-Bulk
Functional: SCAN
Structure: single point on PBEsol structure

```
5
Lattice="-2.5066 2.2834 -2.0345 -1.3267 -3.1820 -1.9367 -4.8663 -0.8925 8.8367" Properties=species:S:1:pos:R:3 pbc="T T T"
La -5.7106 -1.1297 5.7680
La -2.9890 -0.6614 -0.9025
Tc 0.0000 0.0000 0.0000
Y -4.0549 -2.2619 2.4572
Y -4.6448 0.4708 2.4083
```

Computed properties:
Calculated volume ... 152.2 Å³ per cell
Magnetization ... 1.013 μB per cell
Energy ... -173.2 eV for the cell shown
Symmetry ... No. 139


7.
Compound: LaY2Tc
Source: Alexandria via LeMat-Bulk
Functional: SCAN
Structure: single point on PBEsol structure

```
4
Lattice="-2.9007 1.8505 -1.0452 -3.0884 -4.1285 1.2618 2.4196 3.1389 5.0280" Properties=species:S:1:pos:R:3 pbc="T T T"
Y -3.3432 0.0739 3.2233
Y -0.2262 0.7870 2.0214
Tc -1.4504 0.9252 -0.5226
La -1.5442 -2.0642 0.6309
```

Computed properties:
Calculated volume ... 105.8 Å³ per cell
Magnetization ... 0.000 μB per cell
Energy ... -133.5 eV for the cell shown
Relative energy among the computed polymorphs ... 71 meV/atom
Symmetry ... No. 71


8.
Compound: LaYTc
Source: Alexandria via LeMat-Bulk
Functional: SCAN
Structure: single point on PBEsol structure

```
3
Lattice="-3.5355 -0.5022 -3.0175 -3.7867 -2.4540 1.2233 -4.0580 2.1910 0.7681" Properties=species:S:1:pos:R:3 pbc="T T T"
Y -5.6901 -0.3826 -0.5131
La -2.8450 -0.1913 -0.2565
Tc 0.0000 0.0000 0.0000
```

Computed properties:
Calculated volume ... 72.3 Å³ per cell
Magnetization ... 0.529 μB per cell
Energy ... -103.0 eV for the cell shown
Relative energy among the computed polymorphs ... 823 meV/atom
Symmetry ... No. 216